A plane-wave DFT calculation with PBE-GGA was carried out for an optimized crystal structure of PaS2Cl2F2.

a = 12.1711 Å, b = 4.6529 Å, c = 6.7986 Å
α = 90.00°, β = 112.50°, γ = 90.00°
With the nearest neighbours (Å) after each atom.
Space group C2/m (No. 12)
Inequivalent atoms, fractional coordinates:
Pa1 0.0000 0.0000 0.0000 x2  2 F 2.04
S1 0.0703 0.0000 0.6334 x4  1 S 1.96
Cl1 0.0809 0.5000 0.2421 x4  2 Pa 2.80, 2 F 2.99, 1 Cl 3.12
F1 0.1803 0.0000 0.0868 x4  1 Pa 2.04

Summary:
Formation energy without anion corrections (eV per atom): -1.897

***

A plane-wave DFT calculation with PBE-GGA was carried out for an optimized crystal structure of TbPaCl2F6.

a = 6.2367 Å, b = 6.2367 Å, c = 15.3275 Å
α = 90.00°, β = 90.00°, γ = 120.00°
With the nearest neighbours (Å) after each atom.
Space group R-3m (No. 166, hexagonal axes)
Inequivalent atoms, fractional coordinates:
Tb1 0.0000 0.0000 0.0000 x3  6 F 2.26
Pa1 0.0000 0.0000 0.5000 x3  6 F 2.16
Cl1 0.0000 0.0000 0.2500 x6  12 F 3.12-3.13
F1 0.0078 0.5039 0.2480 x18  1 Pa 2.16, 1 Tb 2.26

Summary:
Formation energy without anion corrections (eV per atom): -3.240

***

A plane-wave DFT calculation with PBE-GGA was carried out for an optimized crystal structure of PaTl2Cl3F3.

a = 8.0841 Å, b = 8.0841 Å, c = 3.7247 Å
α = 90.00°, β = 90.00°, γ = 120.00°
With the nearest neighbours (Å) after each atom.
Space group P-62m (No. 189)
Inequivalent atoms, fractional coordinates:
Pa1 0.0000 0.0000 0.0000 x1  6 F 2.38
Tl1 0.3333 0.6667 0.5000 x2  6 Cl 3.21, 3 F 3.46
Cl1 0.0000 0.3540 0.0000 x3  1 Pa 2.86, 4 F 3.10
F1 0.0000 0.8162 0.5000 x3  2 Pa 2.38, 2 F 2.57

Summary:
Formation energy without anion corrections (eV per atom): -2.249

***

A plane-wave DFT calculation with PBE-GGA was carried out for an optimized crystal structure of PbCl2F.

a = 4.5533 Å, b = 4.5533 Å, c = 22.1894 Å
α = 90.00°, β = 90.00°, γ = 120.00°
With the nearest neighbours (Å) after each atom.
Space group R-3m (No. 166, hexagonal axes)
Inequivalent atoms, fractional coordinates:
Pb1 0.0000 0.0000 0.0000 x3  6 Cl 2.95
Cl1 0.0000 0.0000 0.3935 x6  1 F 2.36
F1 0.0000 0.0000 0.5000 x3  2 Cl 2.36

Summary:
Offset from the most stable computed form (eV/atom): 0.2987
Formation energy without anion corrections (eV per atom): -0.763

***

A plane-wave DFT calculation with PBE-GGA was carried out for an optimized crystal structure of Pb2Cl3F.

a = 16.1075 Å, b = 4.4527 Å, c = 10.8244 Å
α = 90.00°, β = 114.58°, γ = 90.00°
With the nearest neighbours (Å) after each atom.
Space group C2/m (No. 12)
Inequivalent atoms, fractional coordinates:
Pb1 0.1053 0.0000 0.4391 x4  2 F 2.51-2.54
Pb2 0.1392 0.5000 0.8188 x4  2 F 2.85, 5 Cl 2.85-3.05
Cl1 0.0514 0.5000 0.2455 x4  3 Pb 2.85-2.93
Cl2 0.1573 0.0000 0.9951 x4  3 Pb 2.87-3.05
Cl3 0.2202 0.5000 0.6147 x4  4 Pb 3.00-3.10
F1 0.0654 0.0000 0.6425 x4  2 Pb 2.51-2.54

Summary:
Formation energy without anion corrections (eV per atom): -1.450

***

A plane-wave DFT calculation with PBE-GGA was carried out for an optimized crystal structure of Pb4Cl6F.

a = 9.7528 Å, b = 9.7528 Å, c = 7.4055 Å
α = 90.00°, β = 90.00°, γ = 120.00°
With the nearest neighbours (Å) after each atom.
Space group P6_3mc (No. 186)
Inequivalent atoms, fractional coordinates:
Pb1 0.1889 0.3778 0.0000 x6  1 F 2.57
Pb2 0.3333 0.6667 0.5260 x2  1 F 2.71, 3 Cl 2.86
Cl1 0.0758 0.5379 0.2758 x6  3 Pb 2.86-3.09
Cl2 0.1383 0.2766 0.6100 x6  3 Pb 2.97-3.01
F1 0.3333 0.6667 0.8913 x2  4 Pb 2.57-2.71

Summary:
Formation energy without anion corrections (eV per atom): -1.157

***

A plane-wave DFT calculation with PBE-GGA was carried out for an optimized crystal structure of Pb3Cl5F.

a = 12.5692 Å, b = 9.6647 Å, c = 9.7485 Å
α = 90.00°, β = 108.93°, γ = 90.00°
With the nearest neighbours (Å) after each atom.
Space group C2/m (No. 12)
Inequivalent atoms, fractional coordinates:
Pb1 0.0000 0.0000 0.0000 x2  2 F 2.64, 4 Cl 2.87
Pb2 0.0000 0.0000 0.5000 x2  2 F 2.57
Pb3 0.1570 0.5000 0.1656 x4  6 Cl 2.77-2.95
Pb4 0.2088 0.5000 0.6294 x4  1 F 2.54, 1 Cl 2.82
Cl1 0.0000 0.2966 0.0000 x4  3 Pb 2.87-2.88
Cl2 0.0238 0.5000 0.3428 x4  3 Pb 2.77-3.02
Cl3 0.1851 0.1928 0.6350 x8  3 Pb 2.94-2.99
Cl4 0.2396 0.0000 0.0667 x4  3 Pb 2.82-2.95
F1 0.0772 0.0000 0.2863 x4  3 Pb 2.54-2.64

Summary:
Formation energy without anion corrections (eV per atom): -1.327

***

A plane-wave DFT calculation with PBE-GGA was carried out for an optimized crystal structure of PbCl2F8.

a = 11.6556 Å, b = 6.1973 Å, c = 5.1921 Å
α = 90.00°, β = 91.52°, γ = 90.00°
With the nearest neighbours (Å) after each atom.
Space group C2/m (No. 12)
Inequivalent atoms, fractional coordinates:
Pb1 0.0000 0.0000 0.0000 x2  6 F 2.06-2.29
Cl1 0.2333 0.5000 0.4919 x4  1 F 1.67
F1 0.0701 0.2297 0.2425 x8  1 Pb 2.06
F2 0.1509 0.5000 0.7498 x4  1 Cl 1.67
F3 0.1739 0.0000 0.8035 x4  1 Cl 1.90

Summary:
Formation energy without anion corrections (eV per atom): -1.023